# 1
The following is a DFT calculation (PBE) of crystalline Ce7In3Ga at its relaxed geometry.

Unit cell a=7.8379 b=7.8379 c=5.6384 alpha=107.92 beta=107.92 gamma=89.02
Last column: nearest neighbours and their distance in Å.
Sites, in units of the cell vectors:
Ce1 0.0000 0.0000 0.0000  2 Ga 2.82, 2 In 3.09
Ce2 0.0653 0.5747 0.3506  2 Ce 2.75-2.94
Ce3 0.2924 0.2924 0.8025  2 Ce 2.94, 1 Ga 2.96, 2 In 3.19
Ce4 0.4253 0.9347 0.6494  2 Ce 2.75-2.94
Ce5 0.5747 0.0653 0.3506  2 Ce 2.75-2.94
Ce6 0.7076 0.7076 0.1975  2 Ce 2.94, 1 Ga 2.96, 2 In 3.19
Ce7 0.9347 0.4253 0.6494  2 Ce 2.75-2.94
In1 0.2810 0.7190 0.0000  9 Ce 3.09-3.40
In2 0.5000 0.5000 0.5000  8 Ce 3.34-3.60, 4 In 3.71
In3 0.7190 0.2810 0.0000  9 Ce 3.09-3.40
Ga1 0.0000 0.0000 0.5000  4 Ce 2.82-2.96

Calculated density = 7.41 Mg/m³
Energy relative to the elements = -156 meV per atom
Size of the total moment = 5.53 μB per cell
Raw total energy = -54.5 eV for the cell shown

=====

# 2
The following is a DFT calculation (PBE) of crystalline Rb2ScAsF6 at its relaxed geometry.

Unit cell a=6.4594 b=6.4594 c=6.4594 alpha=114.51 beta=114.51 gamma=99.81
Last column: nearest neighbours and their distance in Å.
Sites, in units of the cell vectors:
Rb1 0.2500 0.7500 0.5000  12 F 3.26-3.49
Rb2 0.7500 0.2500 0.5000  12 F 3.26-3.49
Sc1 0.0000 0.0000 0.0000  6 F 2.01-2.09
As1 0.5000 0.5000 0.0000  2 F 2.07
F1 0.2031 0.2031 0.4063  1 Sc 2.01
F2 0.2031 0.7969 0.0000  1 Sc 2.01
F3 0.2506 0.2506 0.0000  1 As 2.07, 1 Sc 2.09
F4 0.7494 0.7494 0.0000  1 As 2.07, 1 Sc 2.09
F5 0.7969 0.2031 0.0000  1 Sc 2.01
F6 0.7969 0.7969 0.5937  1 Sc 2.01

ΔE_f (raw) = -2.747 eV/atom
Calculated density = 3.31 Mg/m³
Size of the total moment = 2.00 μB per cell
Raw total energy = -51.6 eV for the cell shown

=====

# 3
The following is a DFT calculation (PBE) of crystalline CsNaCa2Cu at its relaxed geometry.

Unit cell a=5.7930 b=5.7930 c=6.3329 alpha=90.00 beta=90.00 gamma=90.00
Last column: nearest neighbours and their distance in Å.
Sites, in units of the cell vectors:
Cs1 0.0000 0.0000 0.0000  4 Na 4.10, 8 Ca 4.29
Na1 0.5000 0.5000 0.0000  2 Cu 3.17
Ca1 0.0000 0.5000 0.5000  2 Cu 2.90
Ca2 0.5000 0.0000 0.5000  2 Cu 2.90
Cu1 0.5000 0.5000 0.5000  4 Ca 2.90, 2 Na 3.17

Calculated density = 2.34 Mg/m³
Energy relative to the elements = 157 meV per atom
Size of the total moment = 0.00 μB per cell
Raw total energy = -9.5 eV for the cell shown

=====

# 4
The following is a DFT calculation (PBE) of crystalline Ca3GeCl8 at its relaxed geometry.

Unit cell a=7.9418 b=7.9418 c=8.0283 alpha=118.33 beta=118.33 gamma=62.07
Last column: nearest neighbours and their distance in Å.
Sites, in units of the cell vectors:
Ca1 0.0000 0.0000 0.0000  6 Cl 2.75-2.77
Ca2 0.0000 0.5000 0.5000  6 Cl 2.75-2.77
Ca3 0.5000 0.0000 0.5000  6 Cl 2.75-2.77
Ge1 0.5000 0.5000 0.0000  6 Cl 2.72
Cl1 0.2414 0.2414 0.2633  3 Ca 2.75
Cl2 0.2471 0.7386 0.7661  1 Ge 2.72, 2 Ca 2.77
Cl3 0.2614 0.2614 0.7423  1 Ge 2.72, 2 Ca 2.77
Cl4 0.2614 0.7529 0.2339  1 Ge 2.72, 2 Ca 2.77
Cl5 0.7386 0.2471 0.7661  1 Ge 2.72, 2 Ca 2.77
Cl6 0.7386 0.7386 0.2577  1 Ge 2.72, 2 Ca 2.77
Cl7 0.7529 0.2614 0.2339  1 Ge 2.72, 2 Ca 2.77
Cl8 0.7586 0.7586 0.7367  3 Ca 2.75

ΔE_f (raw) = -1.984 eV/atom
Calculated density = 2.12 Mg/m³
Size of the total moment = 0.00 μB per cell
Raw total energy = -49.2 eV for the cell shown

=====

Please write out number 4 again, unchanged.
The following is a DFT calculation (PBE) of crystalline Ca3GeCl8 at its relaxed geometry.

Unit cell a=7.9418 b=7.9418 c=8.0283 alpha=118.33 beta=118.33 gamma=62.07
Last column: nearest neighbours and their distance in Å.
Sites, in units of the cell vectors:
Ca1 0.0000 0.0000 0.0000  6 Cl 2.75-2.77
Ca2 0.0000 0.5000 0.5000  6 Cl 2.75-2.77
Ca3 0.5000 0.0000 0.5000  6 Cl 2.75-2.77
Ge1 0.5000 0.5000 0.0000  6 Cl 2.72
Cl1 0.2414 0.2414 0.2633  3 Ca 2.75
Cl2 0.2471 0.7386 0.7661  1 Ge 2.72, 2 Ca 2.77
Cl3 0.2614 0.2614 0.7423  1 Ge 2.72, 2 Ca 2.77
Cl4 0.2614 0.7529 0.2339  1 Ge 2.72, 2 Ca 2.77
Cl5 0.7386 0.2471 0.7661  1 Ge 2.72, 2 Ca 2.77
Cl6 0.7386 0.7386 0.2577  1 Ge 2.72, 2 Ca 2.77
Cl7 0.7529 0.2614 0.2339  1 Ge 2.72, 2 Ca 2.77
Cl8 0.7586 0.7586 0.7367  3 Ca 2.75

ΔE_f (raw) = -1.984 eV/atom
Calculated density = 2.12 Mg/m³
Size of the total moment = 0.00 μB per cell
Raw total energy = -49.2 eV for the cell shown

=====

Question: Look up the calculated density of the fourth one.
Answer: 2.12 Mg/m³